Record 1
{"formula": "TaTeP2H", "functional": "PBE-GGA", "state": "relaxed", "energy_ev_per_cell": -25.535, "magnetic_moment_mub_per_fu": 0.84, "lattice_angstrom": [[4.816, 0.000, 0.000], [0.000, 4.816, 0.000], [0.000, 0.000, 5.439]], "species": ["Ta", "Te", "P", "P", "H"], "fractional_positions": [[0.000, 0.000, 0.000], [0.000, 0.000, 0.500], [0.000, 0.500, 0.000], [0.500, 0.000, 0.000], [0.500, 0.500, 0.500]]}

=====

Record 2
{"formula": "Ta2ZnPH", "functional": "PBE-GGA", "state": "relaxed", "energy_ev_per_cell": -31.592, "magnetic_moment_mub_per_fu": 0.00, "lattice_angstrom": [[4.896, 0.000, 0.000], [0.000, 4.896, 0.000], [0.000, 0.000, 3.093]], "species": ["Ta", "Ta", "Zn", "P", "H"], "fractional_positions": [[0.000, 0.500, 0.000], [0.500, 0.000, 0.000], [0.000, 0.000, 0.500], [0.500, 0.500, 0.000], [0.500, 0.500, 0.500]]}

=====

Record 3
{"formula": "TbPH", "functional": "PBE-GGA", "state": "relaxed", "energy_ev_per_cell": -126.384, "magnetic_moment_mub_per_fu": 0.00, "lattice_angstrom": [[5.728, 0.000, 0.000], [0.000, 11.476, 0.000], [0.000, 0.000, 5.746]], "species": ["Tb", "Tb", "Tb", "Tb", "Tb", "Tb", "Tb", "Tb", "P", "P", "P", "P", "P", "P", "P", "P", "H", "H", "H", "H", "H", "H", "H", "H"], "fractional_positions": [[0.235, 0.122, 0.003], [0.235, 0.378, 0.503], [0.265, 0.622, 0.003], [0.265, 0.878, 0.503], [0.735, 0.122, 0.497], [0.735, 0.378, 0.997], [0.765, 0.622, 0.497], [0.765, 0.878, 0.997], [0.245, 0.134, 0.493], [0.245, 0.366, 0.993], [0.255, 0.634, 0.493], [0.255, 0.866, 0.993], [0.745, 0.134, 0.007], [0.745, 0.366, 0.507], [0.755, 0.634, 0.007], [0.755, 0.866, 0.507], [0.090, 0.051, 0.651], [0.090, 0.449, 0.151], [0.410, 0.551, 0.651], [0.410, 0.949, 0.151], [0.590, 0.051, 0.849], [0.590, 0.449, 0.349], [0.910, 0.551, 0.849], [0.910, 0.949, 0.349]]}